(1)
Entry from the Alexandria database: an optimized crystal structure of LaCo2GeH (GGA-PBE).

* energy above the lowest structure with this stoichiometry: 0.00 eV per formula unit
* space-group type: Cmcm, No. 63
* N(E_F): 4.6 states/eV/f.u.
* crystal system: orthorhombic
* total magnetic moment: 0.01 Bohr magnetons per cell

extended XYZ file:
```
10
Lattice="1.9541 -5.3615 0.0000 1.9541 5.3615 0.0000 0.0000 0.0000 6.7617" Properties=species:S:1:pos:R:3 pbc="T T T"
La 1.9541 4.6317 5.0713
La 1.9541 -4.6317 1.6904
Co 1.9541 1.7431 3.7668
Co 1.9541 1.7431 6.3757
Co 1.9541 -1.7431 0.3860
Co 1.9541 -1.7431 2.9949
Ge 1.9541 3.0600 1.6904
Ge 1.9541 -3.0600 5.0713
H 1.9541 0.0000 0.0000
H 1.9541 0.0000 3.3808
```


(2)
Entry from the Alexandria database: an optimized crystal structure of BaNaSrAg (GGA-PBE).

* space-group type: P4mm, No. 99
* N(E_F): 3.3 states/eV/f.u.
* formation energy from the elements: -0.130 eV per atom
* crystal system: tetragonal
* total magnetic moment: 0.00 Bohr magnetons per cell

extended XYZ file:
```
4
Lattice="4.1110 0.0000 0.0000 0.0000 4.1110 0.0000 0.0000 0.0000 9.4162" Properties=species:S:1:pos:R:3 pbc="T T T"
Ba 0.0000 0.0000 0.0000
Na 2.0555 2.0555 6.5098
Sr 0.0000 0.0000 3.8247
Ag 2.0555 2.0555 2.0437
```


> The lowest total magnetic moment belongs to which entry?

BaNaSrAg